# NiBrO2F

A PBEsol-optimized structure of NiBrO2F (SCAN, Alexandria).

Summary:
As for the crystal system: tetragonal.

Cell: 3.7907 3.7907 3.7486 Å, 90.00 90.00 90.00°
Space group P4/mmm (No. 123)
Asymmetric unit:
Ni (0.0000, 0.0000, 0.0000) [1 per cell]
Br (0.5000, 0.5000, 0.5000) [1 per cell]
O (0.0000, 0.5000, 0.0000) [2 per cell]
F (0.0000, 0.0000, 0.5000) [1 per cell]

***

# NiWBr2F

A PBEsol-optimized structure of NiWBr2F (SCAN, Alexandria).

Summary:
As for the crystal system: tetragonal.

Cell: 5.0184 5.0184 3.9545 Å, 90.00 90.00 90.00°
Space group P4/mmm (No. 123)
Asymmetric unit:
Ni (0.0000, 0.0000, 0.0000) [1 per cell]
W (0.5000, 0.5000, 0.5000) [1 per cell]
Br (0.0000, 0.5000, 0.5000) [2 per cell]
F (0.5000, 0.5000, 0.0000) [1 per cell]

***

# BrOF3

A PBEsol-optimized structure of BrOF3 (SCAN, Alexandria).

Summary:
As for the crystal system: cubic.

Cell: 3.8896 3.8896 3.8896 Å, 90.00 90.00 90.00°
Space group Pm-3m (No. 221)
Asymmetric unit:
Br (0.0000, 0.0000, 0.0000) [1 per cell]
O (0.5000, 0.5000, 0.5000) [1 per cell]
F (0.0000, 0.5000, 0.5000) [3 per cell]

***

# PBrOF2

A PBEsol-optimized structure of PBrOF2 (SCAN, Alexandria).

Summary:
As for the crystal system: tetragonal.

Cell: 3.8514 3.8514 4.2614 Å, 90.00 90.00 90.00°
Space group P4/mmm (No. 123)
Asymmetric unit:
P (0.0000, 0.0000, 0.0000) [1 per cell]
Br (0.5000, 0.5000, 0.5000) [1 per cell]
O (0.0000, 0.0000, 0.5000) [1 per cell]
F (0.0000, 0.5000, 0.0000) [2 per cell]

***

# PBrO2F

A PBEsol-optimized structure of PBrO2F (SCAN, Alexandria).

Summary:
As for the crystal system: tetragonal.

Cell: 3.3474 3.3474 6.0522 Å, 90.00 90.00 90.00°
Space group P4/mmm (No. 123)
Asymmetric unit:
P (0.0000, 0.0000, 0.0000) [1 per cell]
Br (0.5000, 0.5000, 0.5000) [1 per cell]
O (0.0000, 0.5000, 0.0000) [2 per cell]
F (0.0000, 0.0000, 0.5000) [1 per cell]

***

# Sr10P6BrO24F

A PBEsol-optimized structure of Sr10P6BrO24F (SCAN, Alexandria).

Summary:
As for the crystal system: trigonal.

Cell: 9.8031 9.8031 7.2396 Å, 90.00 90.00 120.00°
Space group P3 (No. 143)
Asymmetric unit:
Sr (0.0000, 0.0000, 0.0000) [1 per cell]
Sr (0.0000, 0.0000, 0.4942) [1 per cell]
Sr (0.3333, 0.6667, 0.4799) [1 per cell]
Sr (0.3333, 0.6667, 0.9842) [1 per cell]
Sr (0.4084, 0.3492, 0.7432) [3 per cell]
Sr (0.4217, 0.0973, 0.2333) [3 per cell]
P (0.0314, 0.2995, 0.7343) [3 per cell]
P (0.0739, 0.7071, 0.2372) [3 per cell]
Br (0.6667, 0.3333, 0.5474) [1 per cell]
O (0.0173, 0.5956, 0.0673) [3 per cell]
O (0.0282, 0.6039, 0.4138) [3 per cell]
O (0.0858, 0.8756, 0.7613) [3 per cell]
O (0.1487, 0.4802, 0.7306) [3 per cell]
O (0.1865, 0.1852, 0.2375) [3 per cell]
O (0.1945, 0.4512, 0.2281) [3 per cell]
O (0.2991, 0.0619, 0.5522) [3 per cell]
O (0.3452, 0.0869, 0.8957) [3 per cell]
F (0.6667, 0.3333, 0.1303) [1 per cell]

***

no.,final energy (eV/atom),raw formation energy (eV per atom)
1,-10.59,-0.2605
2,-25.28,0.3874
3,-6.61,0.6530
4,-9.14,-0.5084
5,-9.69,-0.5217
6,-14.13,-3.2338